Run P
## InHgP2 (PBE)

Data for crystalline InHgP2 at its relaxed geometry.

```
data_InHgP2
_chemical_formula_sum 'In1 Hg1 P2'
_symmetry_space_group_name_H-M 'P 1'
_symmetry_Int_Tables_number 1
_symmetry_space_group_name_Hall 'P 1'
_cell_length_a 5.079
_cell_length_b 4.268
_cell_length_c 4.268
_cell_angle_alpha 73.50
_cell_angle_beta 90.00
_cell_angle_gamma 90.00
loop_
_atom_site_label
_atom_site_type_symbol
_atom_site_fract_x
_atom_site_fract_y
_atom_site_fract_z
P1 P 0.500 0.152 0.152
P2 P 0.000 0.090 0.090
Hg1 Hg 0.000 0.490 0.490
In1 In 0.500 0.768 0.768
```

Properties
Calculated density in g/cm3: 7.1
Space group: Amm2, No. 38
Calculated volume in Å³ per cell: 88.7
Spin magnetization in μB per atom: 0.00

---

Run Q
## InHgP2 (PBE)

Data for crystalline InHgP2 at its relaxed geometry.

```
data_InHgP2
_chemical_formula_sum 'In1 Hg1 P2'
_symmetry_space_group_name_H-M 'P 1'
_symmetry_Int_Tables_number 1
_symmetry_space_group_name_Hall 'P 1'
_cell_length_a 6.114
_cell_length_b 6.114
_cell_length_c 6.114
_cell_angle_alpha 149.04
_cell_angle_beta 124.90
_cell_angle_gamma 64.56
loop_
_atom_site_label
_atom_site_type_symbol
_atom_site_fract_x
_atom_site_fract_y
_atom_site_fract_z
P1 P 0.799 0.299 0.500
P2 P 0.938 0.938 0.000
In1 In 0.236 0.736 0.500
Hg1 Hg 0.527 0.527 0.000
```

Properties
Calculated density in g/cm3: 6.6
Space group: Imm2, No. 44
Calculated volume in Å³ per cell: 95.4
Spin magnetization in μB per atom: 0.00

---

run Q is favored, and the nearest alternative lies 0.107 eV/atom above it.

---

Run P
## InHgP2 (PBE)

Data for crystalline InHgP2 at its relaxed geometry.

```
data_InHgP2
_chemical_formula_sum 'In1 Hg1 P2'
_symmetry_space_group_name_H-M 'P 1'
_symmetry_Int_Tables_number 1
_symmetry_space_group_name_Hall 'P 1'
_cell_length_a 3.848
_cell_length_b 4.651
_cell_length_c 5.404
_cell_angle_alpha 74.37
_cell_angle_beta 90.00
_cell_angle_gamma 90.00
loop_
_atom_site_label
_atom_site_type_symbol
_atom_site_fract_x
_atom_site_fract_y
_atom_site_fract_z
In1 In 0.500 0.750 0.750
Hg1 Hg 0.500 0.250 0.250
P1 P 0.000 0.425 0.572
P2 P 0.000 0.075 0.928
```

Properties
Calculated density in g/cm3: 6.7
Space group: P2/m, No. 10
Calculated volume in Å³ per cell: 93.1
Spin magnetization in μB per atom: 0.00

---

Run Q
## InHgP2 (PBE)

Data for crystalline InHgP2 at its relaxed geometry.

```
data_InHgP2
_chemical_formula_sum 'In1 Hg1 P2'
_symmetry_space_group_name_H-M 'P 1'
_symmetry_Int_Tables_number 1
_symmetry_space_group_name_Hall 'P 1'
_cell_length_a 3.227
_cell_length_b 3.227
_cell_length_c 8.512
_cell_angle_alpha 90.00
_cell_angle_beta 90.00
_cell_angle_gamma 90.00
loop_
_atom_site_label
_atom_site_type_symbol
_atom_site_fract_x
_atom_site_fract_y
_atom_site_fract_z
Hg1 Hg 0.000 0.000 0.478
P1 P 0.500 0.500 0.155
P2 P 0.000 0.000 0.067
In1 In 0.500 0.500 0.800
```

Properties
Calculated density in g/cm3: 7.1
Space group: P4mm, No. 99
Calculated volume in Å³ per cell: 88.6
Spin magnetization in μB per atom: 0.00

---

run P is favored, and the nearest alternative lies 0.037 eV/atom above it.

---

Run P
## InHgP2 (PBE)

Data for crystalline InHgP2 at its relaxed geometry.

```
data_InHgP2
_chemical_formula_sum 'In1 Hg1 P2'
_symmetry_space_group_name_H-M 'P 1'
_symmetry_Int_Tables_number 1
_symmetry_space_group_name_Hall 'P 1'
_cell_length_a 3.894
_cell_length_b 5.689
_cell_length_c 3.832
_cell_angle_alpha 90.00
_cell_angle_beta 90.00
_cell_angle_gamma 90.00
loop_
_atom_site_label
_atom_site_type_symbol
_atom_site_fract_x
_atom_site_fract_y
_atom_site_fract_z
Hg1 Hg 0.500 0.000 0.500
P1 P 0.500 0.500 0.000
P2 P 0.000 0.000 0.000
In1 In 0.000 0.500 0.500
```

Properties
Calculated density in g/cm3: 7.4
Space group: Pmmm, No. 47
Calculated volume in Å³ per cell: 84.9
Spin magnetization in μB per atom: 0.00

---

Run Q
## InHgP2 (PBE)

Data for crystalline InHgP2 at its relaxed geometry.

```
data_InHgP2
_chemical_formula_sum 'In1 Hg1 P2'
_symmetry_space_group_name_H-M 'P 1'
_symmetry_Int_Tables_number 1
_symmetry_space_group_name_Hall 'P 1'
_cell_length_a 6.732
_cell_length_b 6.732
_cell_length_c 6.732
_cell_angle_alpha 33.67
_cell_angle_beta 33.67
_cell_angle_gamma 33.67
loop_
_atom_site_label
_atom_site_type_symbol
_atom_site_fract_x
_atom_site_fract_y
_atom_site_fract_z
P1 P 0.499 0.499 0.499
P2 P 0.001 0.001 0.001
Hg1 Hg 0.250 0.250 0.250
In1 In 0.750 0.750 0.750
```

Properties
Calculated density in g/cm3: 7.5
Space group: R-3m, No. 166
Calculated volume in Å³ per cell: 83.6
Spin magnetization in μB per atom: 0.00

---

run Q is favored, and the nearest alternative lies 0.237 eV/atom above it.

---

Run P
## InHgP2 (PBE)

Data for crystalline InHgP2 at its relaxed geometry.

```
data_InHgP2
_chemical_formula_sum 'In1 Hg1 P2'
_symmetry_space_group_name_H-M 'P 1'
_symmetry_Int_Tables_number 1
_symmetry_space_group_name_Hall 'P 1'
_cell_length_a 6.262
_cell_length_b 6.262
_cell_length_c 5.726
_cell_angle_alpha 73.01
_cell_angle_beta 73.01
_cell_angle_gamma 29.99
loop_
_atom_site_label
_atom_site_type_symbol
_atom_site_fract_x
_atom_site_fract_y
_atom_site_fract_z
Hg1 Hg 0.250 0.250 0.250
In1 In 0.750 0.750 0.750
P1 P 0.498 0.498 0.626
P2 P 0.002 0.002 0.874
```

Properties
Calculated density in g/cm3: 5.9
Space group: C2/m, No. 12
Calculated volume in Å³ per cell: 107.0
Spin magnetization in μB per atom: 0.00

---

Run Q
## InHgP2 (PBE)

Data for crystalline InHgP2 at its relaxed geometry.

```
data_InHgP2
_chemical_formula_sum 'In1 Hg1 P2'
_symmetry_space_group_name_H-M 'P 1'
_symmetry_Int_Tables_number 1
_symmetry_space_group_name_Hall 'P 1'
_cell_length_a 4.800
_cell_length_b 4.800
_cell_length_c 4.426
_cell_angle_alpha 72.77
_cell_angle_beta 72.77
_cell_angle_gamma 106.73
loop_
_atom_site_label
_atom_site_type_symbol
_atom_site_fract_x
_atom_site_fract_y
_atom_site_fract_z
P1 P 0.000 0.000 0.000
P2 P 0.500 0.500 0.000
In1 In 0.000 0.500 0.500
Hg1 Hg 0.500 0.000 0.500
```

Properties
Calculated density in g/cm3: 7.4
Space group: C2/m, No. 12
Calculated volume in Å³ per cell: 84.8
Spin magnetization in μB per atom: 0.00

---

run P is favored, and the nearest alternative lies 0.220 eV/atom above it.

---

Run P
## InHg2P2 (PBE)

Data for crystalline InHg2P2 at its relaxed geometry.

```
data_InHg2P2
_chemical_formula_sum 'In2 Hg4 P4'
_symmetry_space_group_name_H-M 'P 1'
_symmetry_Int_Tables_number 1
_symmetry_space_group_name_Hall 'P 1'
_cell_length_a 7.585
_cell_length_b 7.585
_cell_length_c 4.017
_cell_angle_alpha 90.00
_cell_angle_beta 90.00
_cell_angle_gamma 90.00
loop_
_atom_site_label
_atom_site_type_symbol
_atom_site_fract_x
_atom_site_fract_y
_atom_site_fract_z
Hg1 Hg 0.367 0.133 0.500
Hg2 Hg 0.867 0.367 0.500
Hg3 Hg 0.633 0.867 0.500
Hg4 Hg 0.133 0.633 0.500
In1 In 0.000 0.000 0.000
In2 In 0.500 0.500 0.000
P1 P 0.203 0.297 0.000
P2 P 0.703 0.203 0.000
P3 P 0.797 0.703 0.000
P4 P 0.297 0.797 0.000
```

Properties
Calculated density in g/cm3: 8.3
Space group: P4/mbm, No. 127
Calculated volume in Å³ per cell: 231.1
Spin magnetization in μB per atom: 0.00

---

Run Q
## InHg2P2 (PBE)

Data for crystalline InHg2P2 at its relaxed geometry.

```
data_InHg2P2
_chemical_formula_sum 'In1 Hg2 P2'
_symmetry_space_group_name_H-M 'P 1'
_symmetry_Int_Tables_number 1
_symmetry_space_group_name_Hall 'P 1'
_cell_length_a 4.397
_cell_length_b 4.397
_cell_length_c 6.836
_cell_angle_alpha 71.24
_cell_angle_beta 71.24
_cell_angle_gamma 90.00
loop_
_atom_site_label
_atom_site_type_symbol
_atom_site_fract_x
_atom_site_fract_y
_atom_site_fract_z
Hg1 Hg 0.385 0.385 0.230
Hg2 Hg 0.615 0.615 0.770
In1 In 0.000 0.000 0.000
P1 P 0.250 0.750 0.500
P2 P 0.750 0.250 0.500
```

Properties
Calculated density in g/cm3: 8.2
Space group: I4/mmm, No. 139
Calculated volume in Å³ per cell: 117.7
Spin magnetization in μB per atom: 0.00

---

Run R
## InHg2P2 (PBE)

Data for crystalline InHg2P2 at its relaxed geometry.

```
data_InHg2P2
_chemical_formula_sum 'In1 Hg2 P2'
_symmetry_space_group_name_H-M 'P 1'
_symmetry_Int_Tables_number 1
_symmetry_space_group_name_Hall 'P 1'
_cell_length_a 5.165
_cell_length_b 5.165
_cell_length_c 5.762
_cell_angle_alpha 63.37
_cell_angle_beta 63.37
_cell_angle_gamma 90.00
loop_
_atom_site_label
_atom_site_type_symbol
_atom_site_fract_x
_atom_site_fract_y
_atom_site_fract_z
Hg1 Hg 0.750 0.250 0.500
Hg2 Hg 0.250 0.750 0.500
P1 P 0.381 0.381 0.238
P2 P 0.619 0.619 0.762
In1 In 0.000 0.000 0.000
```

Properties
Calculated density in g/cm3: 8.1
Space group: I4/mmm, No. 139
Calculated volume in Å³ per cell: 118.9
Spin magnetization in μB per atom: 0.00

---

Run S
## InHg2P2 (PBE)

Data for crystalline InHg2P2 at its relaxed geometry.

```
data_InHg2P2
_chemical_formula_sum 'In2 Hg4 P4'
_symmetry_space_group_name_H-M 'P 1'
_symmetry_Int_Tables_number 1
_symmetry_space_group_name_Hall 'P 1'
_cell_length_a 8.249
_cell_length_b 8.249
_cell_length_c 3.226
_cell_angle_alpha 90.00
_cell_angle_beta 90.00
_cell_angle_gamma 90.00
loop_
_atom_site_label
_atom_site_type_symbol
_atom_site_fract_x
_atom_site_fract_y
_atom_site_fract_z
P1 P 0.339 0.161 0.500
P2 P 0.161 0.661 0.500
P3 P 0.661 0.839 0.500
P4 P 0.839 0.339 0.500
Hg1 Hg 0.639 0.139 0.000
Hg2 Hg 0.139 0.361 0.000
Hg3 Hg 0.361 0.861 0.000
Hg4 Hg 0.861 0.639 0.000
In1 In 0.500 0.500 0.000
In2 In 0.000 0.000 0.000
```

Properties
Calculated density in g/cm3: 8.7
Space group: P4/mbm, No. 127
Calculated volume in Å³ per cell: 219.6
Spin magnetization in μB per atom: 0.00

---

run R is favored, and the nearest alternative lies 0.138 eV/atom above it.